CsSmCrO4 (PBE with a Hubbard U, relaxed); calculated total energy = -6.957 eV/atom; crystal system = monoclinic; symmetry = P2_1/m; V = 277.30 Å³ per cell
1.0
5.9718 0.0000 0.0000
0.0000 6.0321 0.0000
-2.5509 0.0000 7.6981
Cs Sm Cr O
2 2 2 8
Direct
0.2010 0.2500 0.4314
0.7990 0.7500 0.5686
0.3018 0.2500 0.9597
0.6982 0.7500 0.0403
0.2399 0.7500 0.1527
0.7601 0.2500 0.8473
0.0373 0.7500 0.9411
0.0527 0.7500 0.2853
0.4538 0.5256 0.1648
0.4538 0.9744 0.1648
0.5462 0.0256 0.8352
0.5462 0.4744 0.8352
0.9473 0.2500 0.7147
0.9627 0.2500 0.0589